No. 1
This record from the Alexandria database describes an optimized crystal structure of BeMoOsBr2. The functional is PBE.

Space-group type ... P4/mmm
E_tot ... -4.1339 eV/atom
Formation energy from raw total energies ... 1.69 eV/atom

Lattice parameters (Å, degrees): 4.205 5.122 4.205 90.00 90.00 90.00
Sites, in units of the cell vectors:
1 Be 0.000 0.000 0.000
2 Br 0.000 0.000 0.500
3 Br 0.500 0.000 0.000
4 Mo 0.000 0.500 0.000
5 Os 0.500 0.500 0.500

No. 2
This record from the Alexandria database describes an optimized crystal structure of Be2MoRhBr. The functional is PBE.

Space-group type ... P4/mmm
E_tot ... -4.7189 eV/atom
Formation energy from raw total energies ... 0.74 eV/atom

Lattice parameters (Å, degrees): 4.303 4.875 4.303 90.00 90.00 90.00
Sites, in units of the cell vectors:
1 Br 0.500 0.500 0.500
2 Mo 0.000 0.500 0.000
3 Be 0.000 0.000 0.500
4 Be 0.500 0.000 0.000
5 Rh 0.000 0.000 0.000

We obtain calculated density values of 8.3, 5.5 Mg/m³ for the records listed above, in that order.